#one
This record from the Alexandria database describes crystalline NbAs2BrCl at its relaxed geometry. The functional is GGA-PBE.

a b c (Å): 4.6487 4.6487 5.6504
angles (deg): 90.00 90.00 90.00
With the nearest neighbours (Å) after each atom.
Fractional positions:
Cl (0.0000, 0.0000, 0.0000)  4 As 2.32
As (0.5000, 0.0000, 0.0000)  2 Cl 2.32
As (0.0000, 0.5000, 0.0000)  2 Cl 2.32
Nb (0.5000, 0.5000, 0.5000)  4 Br 3.29, 8 As 3.66
Br (0.0000, 0.0000, 0.5000)  2 Cl 2.83

As for the space group: No. 123. The total moment comes out at 0.15 μB per cell. As for the density of states at the Fermi level: 6.844 states/eV per cell. Its volume is 122.1 Å³/f.u.

---

#two
This record from the Alexandria database describes crystalline NbAs2BrCl at its relaxed geometry. The functional is GGA-PBE.

a b c (Å): 5.0549 5.0549 5.0955
angles (deg): 90.00 90.00 90.00
With the nearest neighbours (Å) after each atom.
Fractional positions:
Cl (0.5000, 0.5000, 0.5000)  4 Br 3.57, 8 As 3.59
Br (0.0000, 0.0000, 0.5000)  2 Nb 2.55
As (0.0000, 0.5000, 0.0000)  2 Nb 2.53
As (0.5000, 0.0000, 0.0000)  2 Nb 2.53
Nb (0.0000, 0.0000, 0.0000)  4 As 2.53, 2 Br 2.55

As for the space group: No. 123. The total moment comes out at 0.00 μB per cell. As for the density of states at the Fermi level: 4.469 states/eV per cell. Its volume is 130.2 Å³/f.u.

---

Which one sits at the bottom of the stability order? #one does.

---

#one
This record from the Alexandria database describes crystalline NiAs2BrCl at its relaxed geometry. The functional is GGA-PBE.

a b c (Å): 4.7251 4.7251 6.4414
angles (deg): 90.00 90.00 90.00
With the nearest neighbours (Å) after each atom.
Fractional positions:
As (0.0000, 0.5000, 0.0000)  2 Cl 2.36
As (0.5000, 0.0000, 0.0000)  2 Cl 2.36
Br (0.0000, 0.0000, 0.5000)  2 Cl 3.22, 4 Ni 3.34
Cl (0.0000, 0.0000, 0.0000)  4 As 2.36
Ni (0.5000, 0.5000, 0.5000)  4 Br 3.34

As for the space group: No. 123. The total moment comes out at 2.64 μB per cell. As for the density of states at the Fermi level: 7.134 states/eV per cell. Its volume is 143.8 Å³/f.u.

---

#two
This record from the Alexandria database describes crystalline NiAs2BrCl at its relaxed geometry. The functional is GGA-PBE.

a b c (Å): 4.6859 4.6859 4.9108
angles (deg): 90.00 90.00 90.00
With the nearest neighbours (Å) after each atom.
Fractional positions:
Ni (0.0000, 0.0000, 0.0000)  4 As 2.34, 2 Br 2.46
As (0.5000, 0.0000, 0.0000)  2 Ni 2.34
As (0.0000, 0.5000, 0.0000)  2 Ni 2.34
Cl (0.5000, 0.5000, 0.5000)  4 Br 3.31, 8 As 3.39
Br (0.0000, 0.0000, 0.5000)  2 Ni 2.46

As for the space group: No. 123. The total moment comes out at 0.00 μB per cell. As for the density of states at the Fermi level: 3.158 states/eV per cell. Its volume is 107.8 Å³/f.u.

---

Which one sits at the bottom of the stability order? #one does.

---

#one
This record from the Alexandria database describes crystalline AsBr2ClO at its relaxed geometry. The functional is GGA-PBE.

a b c (Å): 6.1933 6.1933 3.6567
angles (deg): 90.00 90.00 90.00
With the nearest neighbours (Å) after each atom.
Fractional positions:
O (0.0000, 0.0000, 0.0000)  2 As 1.83
Cl (0.5000, 0.5000, 0.5000)  8 Br 3.60, 2 Cl 3.66
Br (0.0000, 0.5000, 0.0000)  2 O 3.10
Br (0.5000, 0.0000, 0.0000)  2 O 3.10
As (0.0000, 0.0000, 0.5000)  2 O 1.83

As for the space group: No. 123. The total moment comes out at 2.02 μB per cell. As for the density of states at the Fermi level: 6.071 states/eV per cell. Its volume is 140.3 Å³/f.u.

---

#two
This record from the Alexandria database describes crystalline AsBr2ClO at its relaxed geometry. The functional is GGA-PBE.

a b c (Å): 5.2645 5.2645 5.1124
angles (deg): 90.00 90.00 90.00
With the nearest neighbours (Å) after each atom.
Fractional positions:
As (0.0000, 0.0000, 0.5000)  2 Cl 2.56
Br (0.0000, 0.5000, 0.0000)  2 Cl 2.63
Br (0.5000, 0.0000, 0.0000)  2 Cl 2.63
Cl (0.0000, 0.0000, 0.0000)  2 As 2.56, 4 Br 2.63
O (0.5000, 0.5000, 0.5000)  8 Br 3.67, 4 As 3.72

As for the space group: No. 123. The total moment comes out at 2.00 μB per cell. As for the density of states at the Fermi level: 6.674 states/eV per cell. Its volume is 141.7 Å³/f.u.

---

Which one sits at the bottom of the stability order? #two does.

---

#one
This record from the Alexandria database describes crystalline As2BrClO at its relaxed geometry. The functional is GGA-PBE.

a b c (Å): 4.4956 4.4956 4.8631
angles (deg): 90.00 90.00 90.00
With the nearest neighbours (Å) after each atom.
Fractional positions:
As (0.0000, 0.5000, 0.0000)  2 O 2.25
As (0.5000, 0.0000, 0.0000)  2 O 2.25
O (0.0000, 0.0000, 0.0000)  4 As 2.25, 2 Br 2.43
Cl (0.5000, 0.5000, 0.5000)  4 Br 3.18, 8 As 3.31
Br (0.0000, 0.0000, 0.5000)  2 O 2.43

As for the space group: No. 123. The total moment comes out at 0.00 μB per cell. As for the density of states at the Fermi level: 4.082 states/eV per cell. Its volume is 98.3 Å³/f.u.

---

#two
This record from the Alexandria database describes crystalline As2BrClO at its relaxed geometry. The functional is GGA-PBE.

a b c (Å): 4.9309 4.9309 6.4112
angles (deg): 90.00 90.00 90.00
With the nearest neighbours (Å) after each atom.
Fractional positions:
As (0.0000, 0.5000, 0.0000)  2 Cl 2.47
As (0.5000, 0.0000, 0.0000)  2 Cl 2.47
Cl (0.0000, 0.0000, 0.0000)  4 As 2.47
Br (0.0000, 0.0000, 0.5000)  2 Cl 3.21, 4 O 3.49
O (0.5000, 0.5000, 0.5000)  4 Br 3.49

As for the space group: No. 123. The total moment comes out at 4.78 μB per cell. As for the density of states at the Fermi level: 7.639 states/eV per cell. Its volume is 155.9 Å³/f.u.

---

Which one sits at the bottom of the stability order? #two does.

---

#one
This record from the Alexandria database describes crystalline AsOsBr2Cl at its relaxed geometry. The functional is GGA-PBE.

a b c (Å): 5.0409 5.0409 5.3009
angles (deg): 90.00 90.00 90.00
With the nearest neighbours (Å) after each atom.
Fractional positions:
Os (0.5000, 0.5000, 0.5000)  4 As 3.56, 8 Br 3.66
Br (0.0000, 0.5000, 0.0000)  2 Cl 2.52
Br (0.5000, 0.0000, 0.0000)  2 Cl 2.52
As (0.0000, 0.0000, 0.5000)  2 Cl 2.65
Cl (0.0000, 0.0000, 0.0000)  4 Br 2.52, 2 As 2.65

As for the space group: No. 123. The total moment comes out at 3.86 μB per cell. As for the density of states at the Fermi level: 5.114 states/eV per cell. Its volume is 134.7 Å³/f.u.

---

#two
This record from the Alexandria database describes crystalline AsOsBr2Cl at its relaxed geometry. The functional is GGA-PBE.

a b c (Å): 5.1079 5.1079 4.7471
angles (deg): 90.00 90.00 90.00
With the nearest neighbours (Å) after each atom.
Fractional positions:
Os (0.0000, 0.0000, 0.0000)  2 As 2.37, 4 Br 2.55
Cl (0.5000, 0.5000, 0.5000)  8 Br 3.49, 4 As 3.61
As (0.0000, 0.0000, 0.5000)  2 Os 2.37
Br (0.5000, 0.0000, 0.0000)  2 Os 2.55
Br (0.0000, 0.5000, 0.0000)  2 Os 2.55

As for the space group: No. 123. The total moment comes out at 0.00 μB per cell. As for the density of states at the Fermi level: 4.253 states/eV per cell. Its volume is 123.9 Å³/f.u.

---

Which one sits at the bottom of the stability order? #one does.

---

#one
This record from the Alexandria database describes crystalline As2OsBrCl at its relaxed geometry. The functional is GGA-PBE.

a b c (Å): 4.7661 4.7661 5.2477
angles (deg): 90.00 90.00 90.00
With the nearest neighbours (Å) after each atom.
Fractional positions:
As (0.5000, 0.0000, 0.0000)  2 Os 2.38
As (0.0000, 0.5000, 0.0000)  2 Os 2.38
Br (0.0000, 0.0000, 0.5000)  2 Os 2.62
Os (0.0000, 0.0000, 0.0000)  4 As 2.38, 2 Br 2.62
Cl (0.5000, 0.5000, 0.5000)  4 Br 3.37, 8 As 3.54

As for the space group: No. 123. The total moment comes out at 0.00 μB per cell. As for the density of states at the Fermi level: 4.993 states/eV per cell. Its volume is 119.2 Å³/f.u.

---

#two
This record from the Alexandria database describes crystalline As2OsBrCl at its relaxed geometry. The functional is GGA-PBE.

a b c (Å): 4.9131 4.9131 4.8405
angles (deg): 90.00 90.00 90.00
With the nearest neighbours (Å) after each atom.
Fractional positions:
As (0.0000, 0.5000, 0.0000)  2 Cl 2.46
As (0.5000, 0.0000, 0.0000)  2 Cl 2.46
Os (0.5000, 0.5000, 0.5000)  8 As 3.45, 4 Br 3.47
Cl (0.0000, 0.0000, 0.0000)  2 Br 2.42, 4 As 2.46
Br (0.0000, 0.0000, 0.5000)  2 Cl 2.42

As for the space group: No. 123. The total moment comes out at 2.39 μB per cell. As for the density of states at the Fermi level: 4.345 states/eV per cell. Its volume is 116.8 Å³/f.u.

---

Which one sits at the bottom of the stability order? #two does.